{"formula": "Ac3Al3Ga8", "functional": "PBE-GGA", "state": "optimized geometry", "cell": [[-2.234, 5.125, 6.786], [2.234, -5.125, 6.786], [2.234, 5.125, -6.786]], "species": ["Ac", "Ac", "Ac", "Al", "Al", "Al", "Ga", "Ga", "Ga", "Ga", "Ga", "Ga", "Ga", "Ga"], "fractional_positions": [[0.000, 0.000, 0.000], [0.315, 0.315, 0.000], [0.685, 0.685, 0.000], [0.281, 0.500, 0.781], [0.500, 0.000, 0.500], [0.719, 0.500, 0.219], [0.030, 0.664, 0.366], [0.137, 0.862, 0.275], [0.298, 0.664, 0.634], [0.413, 0.138, 0.275], [0.587, 0.862, 0.725], [0.702, 0.336, 0.366], [0.863, 0.138, 0.725], [0.970, 0.336, 0.634]], "total_energy_ev_per_atom": -3.844, "vol_a3_per_atom": 22.2}


{"formula": "Ac3Al3Ga2", "functional": "PBE-GGA", "state": "optimized geometry", "cell": [[2.217, -6.109, 0.000], [2.217, 6.109, 0.000], [0.000, 0.000, 16.047]], "species": ["Ac", "Ac", "Ac", "Ac", "Ac", "Ac", "Al", "Al", "Al", "Al", "Al", "Al", "Ga", "Ga", "Ga", "Ga"], "fractional_positions": [[0.056, 0.944, 0.605], [0.056, 0.944, 0.895], [0.351, 0.649, 0.750], [0.649, 0.351, 0.250], [0.944, 0.056, 0.105], [0.944, 0.056, 0.395], [0.337, 0.663, 0.537], [0.337, 0.663, 0.963], [0.367, 0.633, 0.250], [0.633, 0.367, 0.750], [0.663, 0.337, 0.037], [0.663, 0.337, 0.463], [0.234, 0.766, 0.112], [0.234, 0.766, 0.388], [0.766, 0.234, 0.612], [0.766, 0.234, 0.888]], "de_polymorph_mev_per_atom": 23, "total_energy_ev_per_atom": -4.131, "vol_a3_per_atom": 27.2}


{"formula": "Ac3Al7Ga4", "functional": "PBE-GGA", "state": "optimized geometry", "cell": [[8.459, -2.240, 0.000], [8.459, 2.240, 0.000], [-6.177, 0.000, 8.229]], "species": ["Ac", "Ac", "Ac", "Al", "Al", "Al", "Al", "Al", "Al", "Al", "Ga", "Ga", "Ga", "Ga"], "fractional_positions": [[0.000, 0.000, 0.000], [0.317, 0.317, 0.313], [0.683, 0.683, 0.687], [0.000, 0.000, 0.500], [0.143, 0.143, 0.414], [0.336, 0.336, 0.975], [0.495, 0.495, 0.716], [0.505, 0.505, 0.284], [0.664, 0.664, 0.025], [0.857, 0.857, 0.586], [0.138, 0.138, 0.864], [0.334, 0.334, 0.706], [0.666, 0.666, 0.294], [0.862, 0.862, 0.136]], "total_energy_ev_per_atom": -4.000, "vol_a3_per_atom": 22.3}


{"formula": "Ac3AlGa4", "functional": "PBE-GGA", "state": "optimized geometry", "cell": [[-2.525, 3.314, 7.177], [2.525, -3.314, 7.177], [2.525, 3.314, -7.177]], "species": ["Ac", "Ac", "Ac", "Al", "Ga", "Ga", "Ga", "Ga"], "fractional_positions": [[0.000, 0.000, 0.000], [0.318, 0.818, 0.500], [0.682, 0.182, 0.500], [0.500, 0.500, 0.000], [0.085, 0.384, 0.701], [0.317, 0.616, 0.701], [0.683, 0.384, 0.299], [0.915, 0.616, 0.299]], "total_energy_ev_per_atom": -3.880, "vol_a3_per_atom": 30.0}


{"formula": "Ac6AlGa2", "functional": "PBE-GGA", "state": "optimized geometry", "cell": [[7.056, 0.000, 0.000], [0.000, 9.038, 0.000], [-6.047, 0.000, 10.353]], "species": ["Ac", "Ac", "Ac", "Ac", "Ac", "Ac", "Ac", "Ac", "Ac", "Ac", "Ac", "Ac", "Al", "Al", "Ga", "Ga", "Ga", "Ga"], "fractional_positions": [[0.076, 0.055, 0.227], [0.076, 0.445, 0.727], [0.191, 0.690, 0.071], [0.191, 0.810, 0.571], [0.408, 0.164, 0.053], [0.408, 0.336, 0.553], [0.592, 0.664, 0.447], [0.592, 0.836, 0.947], [0.809, 0.190, 0.429], [0.809, 0.310, 0.929], [0.924, 0.555, 0.273], [0.924, 0.945, 0.773], [0.500, 0.000, 0.500], [0.500, 0.500, 0.000], [0.316, 0.119, 0.740], [0.316, 0.381, 0.240], [0.684, 0.619, 0.760], [0.684, 0.881, 0.260]], "de_polymorph_mev_per_atom": 97, "total_energy_ev_per_atom": -3.994, "vol_a3_per_atom": 36.7}


{"formula": "Ac4Al3Ga", "functional": "PBE-GGA", "state": "optimized geometry", "cell": [[4.419, 0.000, 0.000], [0.000, 4.812, 0.000], [0.000, 0.000, 12.043]], "species": ["Ac", "Ac", "Ac", "Ac", "Al", "Al", "Al", "Ga"], "fractional_positions": [[0.000, 0.000, 0.000], [0.000, 0.500, 0.496], [0.500, 0.000, 0.711], [0.500, 0.500, 0.213], [0.000, 0.500, 0.792], [0.500, 0.000, 0.415], [0.500, 0.500, 0.919], [0.000, 0.000, 0.289]], "total_energy_ev_per_atom": -4.190, "vol_a3_per_atom": 32.0}


{"formula": "Ac2AlGa", "functional": "PBE-GGA", "state": "optimized geometry", "cell": [[4.391, 0.000, 0.000], [0.000, 2.395, 5.999], [0.000, -2.395, 5.999]], "species": ["Ac", "Ac", "Al", "Ga"], "fractional_positions": [[0.000, 0.000, 0.000], [0.500, 0.286, 0.286], [0.000, 0.704, 0.704], [0.500, 0.577, 0.577]], "total_energy_ev_per_atom": -4.159, "vol_a3_per_atom": 31.5}


{"formula": "AcAl3Ga2", "functional": "PBE-GGA", "state": "optimized geometry", "cell": [[8.027, -2.254, 0.000], [8.027, 2.254, 0.000], [-4.685, 0.000, 7.328]], "species": ["Ac", "Ac", "Al", "Al", "Al", "Al", "Al", "Al", "Ga", "Ga", "Ga", "Ga"], "fractional_positions": [[0.155, 0.155, 0.235], [0.845, 0.845, 0.765], [0.057, 0.057, 0.747], [0.281, 0.281, 0.978], [0.423, 0.423, 0.524], [0.577, 0.577, 0.476], [0.719, 0.719, 0.022], [0.943, 0.943, 0.253], [0.169, 0.169, 0.618], [0.472, 0.472, 0.112], [0.528, 0.528, 0.888], [0.831, 0.831, 0.382]], "total_energy_ev_per_atom": -3.870, "vol_a3_per_atom": 22.1}


{"formula": "Ac3Al8Ga3", "functional": "PBE-GGA", "state": "optimized geometry", "cell": [[-2.271, 5.215, 6.701], [2.271, -5.215, 6.701], [2.271, 5.215, -6.701]], "species": ["Ac", "Ac", "Ac", "Al", "Al", "Al", "Al", "Al", "Al", "Al", "Al", "Ga", "Ga", "Ga"], "fractional_positions": [[0.000, 0.000, 0.000], [0.322, 0.322, 0.000], [0.678, 0.678, 0.000], [0.035, 0.666, 0.369], [0.126, 0.857, 0.268], [0.297, 0.666, 0.631], [0.411, 0.143, 0.268], [0.589, 0.857, 0.732], [0.703, 0.334, 0.369], [0.874, 0.143, 0.732], [0.965, 0.334, 0.631], [0.274, 0.500, 0.774], [0.500, 0.000, 0.500], [0.726, 0.500, 0.226]], "total_energy_ev_per_atom": -4.018, "vol_a3_per_atom": 22.7}


{"formula": "Ac5Al2Ga5", "functional": "PBE-GGA", "state": "optimized geometry", "cell": [[8.128, -2.177, 0.000], [8.128, 2.177, 0.000], [-6.868, 0.000, 9.926]], "species": ["Ac", "Ac", "Ac", "Ac", "Ac", "Al", "Al", "Ga", "Ga", "Ga", "Ga", "Ga"], "fractional_positions": [[0.000, 0.000, 0.000], [0.306, 0.306, 0.414], [0.371, 0.371, 0.176], [0.629, 0.629, 0.824], [0.694, 0.694, 0.586], [0.392, 0.392, 0.739], [0.608, 0.608, 0.261], [0.000, 0.000, 0.500], [0.065, 0.065, 0.336], [0.304, 0.304, 0.863], [0.696, 0.696, 0.137], [0.935, 0.935, 0.664]], "total_energy_ev_per_atom": -4.035, "vol_a3_per_atom": 29.3}


{"formula": "Ac3Al2Ga6", "functional": "PBE-GGA", "state": "optimized geometry", "cell": [[-2.180, 2.180, 15.286], [2.180, -2.180, 15.286], [2.180, 2.180, -15.286]], "species": ["Ac", "Ac", "Ac", "Al", "Al", "Ga", "Ga", "Ga", "Ga", "Ga", "Ga"], "fractional_positions": [[0.000, 0.000, 0.000], [0.171, 0.171, 0.000], [0.829, 0.829, 0.000], [0.365, 0.365, 0.000], [0.635, 0.635, 0.000], [0.081, 0.581, 0.500], [0.274, 0.274, 0.000], [0.419, 0.919, 0.500], [0.581, 0.081, 0.500], [0.726, 0.726, 0.000], [0.919, 0.419, 0.500]], "total_energy_ev_per_atom": -3.753, "vol_a3_per_atom": 26.4}


{"formula": "Ac6AlGa2", "functional": "PBE-GGA", "state": "optimized geometry", "cell": [[-5.303, 5.409, 5.709], [5.303, -5.409, 5.709], [5.303, 5.409, -5.709]], "species": ["Ac", "Ac", "Ac", "Ac", "Ac", "Ac", "Ac", "Ac", "Ac", "Ac", "Ac", "Ac", "Al", "Al", "Ga", "Ga", "Ga", "Ga"], "fractional_positions": [[0.059, 0.249, 0.810], [0.174, 0.271, 0.445], [0.174, 0.729, 0.903], [0.330, 0.026, 0.696], [0.330, 0.634, 0.304], [0.439, 0.249, 0.190], [0.561, 0.751, 0.810], [0.670, 0.366, 0.696], [0.670, 0.974, 0.304], [0.826, 0.271, 0.097], [0.826, 0.729, 0.555], [0.941, 0.751, 0.190], [0.000, 0.000, 0.000], [0.500, 0.500, 0.000], [0.115, 0.615, 0.500], [0.338, 0.000, 0.338], [0.662, 0.000, 0.662], [0.885, 0.385, 0.500]], "de_polymorph_mev_per_atom": 0, "total_energy_ev_per_atom": -4.091, "vol_a3_per_atom": 36.4}


{"formula": "AcAlGa2", "functional": "PBE-GGA", "state": "optimized geometry", "cell": [[4.659, 0.000, 0.000], [0.000, 4.659, 0.000], [0.000, 0.000, 4.553]], "species": ["Ac", "Al", "Ga", "Ga"], "fractional_positions": [[0.000, 0.000, 0.000], [0.500, 0.500, 0.000], [0.000, 0.500, 0.500], [0.500, 0.000, 0.500]], "de_polymorph_mev_per_atom": 180, "total_energy_ev_per_atom": -3.742, "vol_a3_per_atom": 24.7}


{"formula": "AcAlGa2", "functional": "PBE-GGA", "state": "optimized geometry", "cell": [[4.492, 0.000, 0.000], [0.000, 3.082, 3.747], [0.000, -3.082, 3.747]], "species": ["Ac", "Al", "Ga", "Ga"], "fractional_positions": [[0.000, 0.000, 0.000], [0.500, 0.322, 0.322], [0.000, 0.502, 0.502], [0.500, 0.692, 0.692]], "de_polymorph_mev_per_atom": 198, "total_energy_ev_per_atom": -3.724, "vol_a3_per_atom": 25.9}


{"formula": "Ac2Al3Ga2", "functional": "PBE-GGA", "state": "optimized geometry", "cell": [[2.071, -10.115, 0.000], [2.071, 10.115, 0.000], [0.000, 0.000, 4.455]], "species": ["Ac", "Ac", "Al", "Al", "Al", "Ga", "Ga"], "fractional_positions": [[0.161, 0.839, 0.000], [0.839, 0.161, 0.000], [0.000, 0.000, 0.000], [0.434, 0.566, 0.500], [0.566, 0.434, 0.500], [0.287, 0.713, 0.500], [0.713, 0.287, 0.500]], "de_polymorph_mev_per_atom": 309, "total_energy_ev_per_atom": -3.780, "vol_a3_per_atom": 26.7}


{"formula": "AcAl3Ga4", "functional": "PBE-GGA", "state": "optimized geometry", "cell": [[4.770, 0.000, 0.000], [0.000, 4.770, 0.000], [0.000, 0.000, 7.509]], "species": ["Ac", "Al", "Al", "Al", "Ga", "Ga", "Ga", "Ga"], "fractional_positions": [[0.000, 0.000, 0.000], [0.000, 0.000, 0.500], [0.500, 0.500, 0.172], [0.500, 0.500, 0.828], [0.000, 0.500, 0.326], [0.000, 0.500, 0.674], [0.500, 0.000, 0.326], [0.500, 0.000, 0.674]], "total_energy_ev_per_atom": -3.684, "vol_a3_per_atom": 21.4}


{"formula": "Ac2Al7Ga", "functional": "PBE-GGA", "state": "optimized geometry", "cell": [[4.491, 0.000, 0.000], [0.000, 4.491, 0.000], [0.000, 0.000, 11.117]], "species": ["Ac", "Ac", "Al", "Al", "Al", "Al", "Al", "Al", "Al", "Ga"], "fractional_positions": [[0.000, 0.500, 0.248], [0.500, 0.000, 0.752], [0.000, 0.000, 0.000], [0.000, 0.000, 0.500], [0.000, 0.500, 0.634], [0.000, 0.500, 0.870], [0.500, 0.000, 0.130], [0.500, 0.000, 0.366], [0.500, 0.500, 0.500], [0.500, 0.500, 0.000]], "total_energy_ev_per_atom": -4.079, "vol_a3_per_atom": 22.4}


{"formula": "Ac3Al2Ga7", "functional": "PBE-GGA", "state": "optimized geometry", "cell": [[4.492, 0.000, 0.000], [0.000, 4.603, 0.000], [-2.232, 0.000, 13.925]], "species": ["Ac", "Ac", "Ac", "Al", "Al", "Ga", "Ga", "Ga", "Ga", "Ga", "Ga", "Ga"], "fractional_positions": [[0.000, 0.000, 0.000], [0.318, 0.500, 0.635], [0.682, 0.500, 0.365], [0.134, 0.000, 0.270], [0.866, 0.000, 0.730], [0.083, 0.500, 0.168], [0.228, 0.000, 0.455], [0.415, 0.000, 0.829], [0.500, 0.500, 0.000], [0.585, 0.000, 0.171], [0.772, 0.000, 0.545], [0.917, 0.500, 0.832]], "total_energy_ev_per_atom": -3.863, "vol_a3_per_atom": 24.0}


{"formula": "Ac3Al2Ga2", "functional": "PBE-GGA", "state": "optimized geometry", "cell": [[5.952, -2.352, 0.000], [5.952, 2.352, 0.000], [-2.916, 0.000, 7.327]], "species": ["Ac", "Ac", "Ac", "Al", "Al", "Ga", "Ga"], "fractional_positions": [[0.000, 0.000, 0.000], [0.178, 0.178, 0.612], [0.822, 0.822, 0.388], [0.301, 0.301, 0.074], [0.699, 0.699, 0.926], [0.485, 0.485, 0.668], [0.515, 0.515, 0.332]], "total_energy_ev_per_atom": -4.126, "vol_a3_per_atom": 29.3}


{"formula": "Ac3Al3Ga2", "functional": "PBE-GGA", "state": "optimized geometry", "cell": [[2.208, -6.118, 0.000], [2.208, 6.118, 0.000], [0.000, 0.000, 16.764]], "species": ["Ac", "Ac", "Ac", "Ac", "Ac", "Ac", "Al", "Al", "Al", "Al", "Al", "Al", "Ga", "Ga", "Ga", "Ga"], "fractional_positions": [[0.043, 0.957, 0.750], [0.348, 0.652, 0.593], [0.348, 0.652, 0.907], [0.652, 0.348, 0.093], [0.652, 0.348, 0.407], [0.957, 0.043, 0.250], [0.073, 0.927, 0.554], [0.073, 0.927, 0.946], [0.234, 0.766, 0.250], [0.766, 0.234, 0.750], [0.927, 0.073, 0.054], [0.927, 0.073, 0.446], [0.359, 0.641, 0.117], [0.359, 0.641, 0.383], [0.641, 0.359, 0.617], [0.641, 0.359, 0.883]], "de_polymorph_mev_per_atom": 0, "total_energy_ev_per_atom": -4.154, "vol_a3_per_atom": 28.3}


{"formula": "AcAlGa2", "functional": "PBE-GGA", "state": "optimized geometry", "cell": [[0.000, 3.619, 3.619], [3.619, 0.000, 3.619], [3.619, 3.619, 0.000]], "species": ["Ac", "Al", "Ga", "Ga"], "fractional_positions": [[0.000, 0.000, 0.000], [0.500, 0.500, 0.500], [0.250, 0.250, 0.250], [0.750, 0.750, 0.750]], "de_polymorph_mev_per_atom": 187, "total_energy_ev_per_atom": -3.734, "vol_a3_per_atom": 23.7}


{"formula": "AcAl2Ga", "functional": "PBE-GGA", "state": "optimized geometry", "cell": [[7.183, 0.000, 0.000], [0.000, 2.320, 5.682], [0.000, -2.320, 5.682]], "species": ["Ac", "Ac", "Al", "Al", "Al", "Al", "Ga", "Ga"], "fractional_positions": [[0.000, 0.000, 0.000], [0.500, 0.207, 0.207], [0.000, 0.291, 0.291], [0.317, 0.493, 0.493], [0.500, 0.920, 0.920], [0.683, 0.493, 0.493], [0.184, 0.712, 0.712], [0.816, 0.712, 0.712]], "total_energy_ev_per_atom": -3.990, "vol_a3_per_atom": 23.7}


Number 1: mass density 7.1 Mg/m³. Number 2: mass density 6.9 Mg/m³. Number 3: mass density 6.1 Mg/m³. Number 4: mass density 6.8 Mg/m³. Number 5: mass density 7.7 Mg/m³. Number 6: mass density 6.9 Mg/m³. Number 7: mass density 7.2 Mg/m³. Number 8: mass density 5.6 Mg/m³. Number 9: mass density 5.8 Mg/m³. Number 10: mass density 7.3 Mg/m³. Number 11: mass density 6.6 Mg/m³. Number 12: mass density 7.7 Mg/m³. Number 13: mass density 6.6 Mg/m³. Number 14: mass density 6.3 Mg/m³. Number 15: mass density 6.0 Mg/m³. Number 16: mass density 5.7 Mg/m³. Number 17: mass density 5.3 Mg/m³. Number 18: mass density 7.1 Mg/m³. Number 19: mass density 7.1 Mg/m³. Number 20: mass density 6.6 Mg/m³. Number 21: mass density 6.9 Mg/m³. Number 22: mass density 6.2 Mg/m³.